[1]
# AcHgBi2Rh | Alexandria | GGA-PBE | relaxed
# Energy in eV/atom: -4.190
data_AcHgBi2Rh
_chemical_formula_sum 'Ac1 Hg1 Bi2 Rh1'
_symmetry_space_group_name_H-M 'P 4 m m'
_symmetry_Int_Tables_number 99
_cell_length_a 5.1004
_cell_length_b 5.1004
_cell_length_c 6.1154
_cell_angle_alpha 90.00
_cell_angle_beta 90.00
_cell_angle_gamma 90.00
loop_
_symmetry_equiv_pos_as_xyz
'x,y,z'
'-y,x,z'
'-x,-y,z'
'y,-x,z'
'-x,y,z'
'y,x,z'
'x,-y,z'
'-y,-x,z'
loop_
_atom_site_label
_atom_site_type_symbol
_atom_site_fract_x
_atom_site_fract_y
_atom_site_fract_z
Ac1 Ac 0.0000 0.0000 0.0000
Hg1 Hg 0.5000 0.5000 0.0392
Bi1 Bi 0.0000 0.5000 0.4276
Rh1 Rh 0.0000 0.0000 0.5677

=====

[2]
# AcScHgBi | Alexandria | GGA-PBE | relaxed
# Energy in eV/atom: -4.066
data_AcScHgBi
_chemical_formula_sum 'Ac4 Sc4 Hg4 Bi4'
_symmetry_space_group_name_H-M 'F -4 3 m'
_symmetry_Int_Tables_number 216
_symmetry_space_group_name_Hall 'F -4 2 3'
_cell_length_a 7.8046
_cell_length_b 7.8046
_cell_length_c 7.8046
_cell_angle_alpha 90.00
_cell_angle_beta 90.00
_cell_angle_gamma 90.00
loop_
_atom_site_label
_atom_site_type_symbol
_atom_site_fract_x
_atom_site_fract_y
_atom_site_fract_z
Ac1 Ac 0.0000 0.0000 0.0000
Sc1 Sc 0.0000 0.0000 0.5000
Hg1 Hg 0.2500 0.2500 0.2500
Bi1 Bi 0.2500 0.2500 0.7500

=====

| no. | calculated formation energy (eV/atom) |
| --- | --- |
| 1 | -0.2855 |
| 2 | -0.4106 |